(1)
La3POs: optimized geometry, PBE.

Lattice parameters (Å, degrees): 5.4782 5.4782 5.4782 90.00 90.00 90.00
Space group Pm-3m (No. 221)
One atom of each set of equivalent atoms:
La (0.0000, 0.0000, 0.5000) [3 per cell]
P (0.5000, 0.5000, 0.5000) [1 per cell]
Os (0.0000, 0.0000, 0.0000) [1 per cell]

Polymorph energy (0 for the lowest one) = 0 meV per atom
Energy relative to the elements = -0.77 eV/f.u.
Total magnetization = 0.0 Bohr magnetons per cell

(2)
LaPOs2: optimized geometry, PBE.

Lattice parameters (Å, degrees): 3.9739 3.9739 8.9872 90.00 90.00 90.00
Space group I-4m2 (No. 119)
One atom of each set of equivalent atoms:
La (0.0000, 0.0000, 0.0000) [2 per cell]
P (0.0000, 0.5000, 0.2500) [2 per cell]
Os (0.0000, 0.0000, 0.5000) [2 per cell]
Os (0.0000, 0.5000, 0.7500) [2 per cell]

Energy relative to the elements = 2.20 eV/f.u.
Total magnetization = 0.0 Bohr magnetons per cell

(3)
La2POs: optimized geometry, PBE.

Lattice parameters (Å, degrees): 5.0292 5.0292 3.7087 90.00 90.00 90.00
Space group P4/mmm (No. 123)
One atom of each set of equivalent atoms:
La (0.0000, 0.5000, 0.0000) [2 per cell]
P (0.0000, 0.0000, 0.5000) [1 per cell]
Os (0.5000, 0.5000, 0.5000) [1 per cell]

Energy relative to the elements = -1.71 eV/f.u.
Total magnetization = 0.0 Bohr magnetons per cell